# 1
TaTiAlOs | PBE | relaxed

Total DFT energy (no corrections), eV/atom: -9.0499
V, Å³/cell: 63
Size of the total moment, Bohr magnetons per cell: 1.95
Mass density, g/cm³: 11.7
Formation enthalpy at 0 K, eV per atom: -0.37

Cell: 4.4679 4.4679 4.4679 Å, 60.00 60.00 60.00°
Last column: nearest neighbours and their distance in Å.
Fractional positions:
Ti: 0.7500 0.7500 0.7500  4 Ta 2.74, 4 Al 2.74
Al: 0.5000 0.5000 0.5000  4 Ti 2.74, 4 Os 2.74
Ta: 0.0000 0.0000 0.0000  4 Os 2.74, 4 Ti 2.74
Os: 0.2500 0.2500 0.2500  4 Al 2.74, 4 Ta 2.74


# 2
Ta2TiAlOs | PBE | relaxed

Total DFT energy (no corrections), eV/atom: -8.4649
V, Å³/cell: 110
Size of the total moment, Bohr magnetons per cell: 0.00
Mass density, g/cm³: 9.5
Formation enthalpy at 0 K, eV per atom: 0.85

Cell: 4.8614 4.6607 4.8614 Å, 90.00 90.00 90.00°
Last column: nearest neighbours and their distance in Å.
Fractional positions:
Ta: 0.0000 0.0000 0.5000  2 Os 2.43
Ta: 0.5000 0.0000 0.0000  2 Os 2.43
Os: 0.0000 0.0000 0.0000  2 Ti 2.33, 4 Ta 2.43
Ti: 0.0000 0.5000 0.0000  2 Os 2.33
Al: 0.5000 0.5000 0.5000  8 Ta 3.37, 4 Ti 3.44


# 3
Tm2TaAl2Os5 | PBE | relaxed

Total DFT energy (no corrections), eV/atom: -8.7341
V, Å³/cell: 337
Size of the total moment, Bohr magnetons per cell: 0.00
Mass density, g/cm³: 15.0
Formation enthalpy at 0 K, eV per atom: -0.29

Cell: 3.3294 10.0556 10.0556 Å, 90.00 90.00 90.00°
Last column: nearest neighbours and their distance in Å.
Fractional positions:
Al: 0.0000 0.8731 0.3731  6 Os 2.46-2.49
Al: 0.0000 0.6269 0.8731  6 Os 2.46-2.49
Al: 0.0000 0.3731 0.1269  6 Os 2.46-2.49
Al: 0.0000 0.1269 0.6269  6 Os 2.46-2.49
Os: 0.5000 0.0649 0.8005  2 Al 2.49, 2 Ta 2.69
Os: 0.5000 0.9351 0.1995  2 Al 2.49, 2 Ta 2.69
Os: 0.5000 0.4351 0.3005  2 Al 2.49, 2 Ta 2.69
Os: 0.5000 0.5649 0.6995  2 Al 2.49, 2 Ta 2.69
Os: 0.5000 0.8005 0.9351  2 Al 2.49, 2 Ta 2.69
Os: 0.5000 0.1995 0.0649  2 Al 2.49, 2 Ta 2.69
Os: 0.5000 0.6995 0.4351  2 Al 2.49, 2 Ta 2.69
Os: 0.5000 0.5000 0.0000  4 Al 2.46
Os: 0.5000 0.3005 0.5649  2 Al 2.49, 2 Ta 2.69
Os: 0.5000 0.0000 0.5000  4 Al 2.46
Ta: 0.0000 0.0000 0.0000  8 Os 2.69
Ta: 0.0000 0.5000 0.5000  8 Os 2.69
Tm: 0.0000 0.1718 0.3282  3 Al 2.86-3.04, 10 Os 2.96-3.18
Tm: 0.0000 0.3282 0.8282  3 Al 2.86-3.04, 10 Os 2.96-3.18
Tm: 0.0000 0.8282 0.6718  3 Al 2.86-3.04, 10 Os 2.96-3.18
Tm: 0.0000 0.6718 0.1718  3 Al 2.86-3.04, 10 Os 2.96-3.18


# 4
U2TaAl2Os5 | PBE | relaxed

Total DFT energy (no corrections), eV/atom: -9.9373
V, Å³/cell: 340
Size of the total moment, Bohr magnetons per cell: 6.76
Mass density, g/cm³: 16.2
Formation enthalpy at 0 K, eV per atom: -0.13

Cell: 3.2498 10.2276 10.2276 Å, 90.00 90.00 90.00°
Last column: nearest neighbours and their distance in Å.
Fractional positions:
Al: 0.0000 0.1269 0.6269  6 Os 2.45-2.47
Al: 0.0000 0.6269 0.8731  6 Os 2.45-2.47
Al: 0.0000 0.3731 0.1269  6 Os 2.45-2.47
Al: 0.0000 0.8731 0.3731  6 Os 2.45-2.47
U: 0.0000 0.8269 0.6731  3 Al 2.89-3.10, 10 Os 2.98-3.19
U: 0.0000 0.6731 0.1731  3 Al 2.89-3.10, 10 Os 2.98-3.19
U: 0.0000 0.1731 0.3269  3 Al 2.89-3.10, 10 Os 2.98-3.19
U: 0.0000 0.3269 0.8269  3 Al 2.89-3.10, 10 Os 2.98-3.19
Os: 0.5000 0.0000 0.5000  4 Al 2.45
Os: 0.5000 0.2027 0.0644  2 Al 2.47, 2 Ta 2.72
Os: 0.5000 0.2973 0.5644  2 Al 2.47, 2 Ta 2.72
Os: 0.5000 0.9356 0.2027  2 Al 2.47, 2 Ta 2.72
Os: 0.5000 0.5000 0.0000  4 Al 2.45
Os: 0.5000 0.0644 0.7973  2 Al 2.47, 2 Ta 2.72
Os: 0.5000 0.5644 0.7027  2 Al 2.47, 2 Ta 2.72
Os: 0.5000 0.7973 0.9356  2 Al 2.47, 2 Ta 2.72
Os: 0.5000 0.4356 0.2973  2 Al 2.47, 2 Ta 2.72
Os: 0.5000 0.7027 0.4356  2 Al 2.47, 2 Ta 2.72
Ta: 0.0000 0.5000 0.5000  8 Os 2.72
Ta: 0.0000 0.0000 0.0000  8 Os 2.72


# 5
TaAlVOs | PBE | relaxed

Total DFT energy (no corrections), eV/atom: -9.3558
V, Å³/cell: 61
Size of the total moment, Bohr magnetons per cell: 2.83
Mass density, g/cm³: 12.2
Formation enthalpy at 0 K, eV per atom: -0.37

Cell: 4.4238 4.4238 4.4238 Å, 60.00 60.00 60.00°
Last column: nearest neighbours and their distance in Å.
Fractional positions:
Al: 0.5000 0.5000 0.5000  4 Os 2.71, 4 V 2.71
Os: 0.7500 0.7500 0.7500  4 Al 2.71, 4 Ta 2.71
Ta: 0.0000 0.0000 0.0000  4 Os 2.71, 4 V 2.71
V: 0.2500 0.2500 0.2500  4 Ta 2.71, 4 Al 2.71


# 6
TaAlOsW | PBE | relaxed

Total DFT energy (no corrections), eV/atom: -10.0809
V, Å³/cell: 63
Size of the total moment, Bohr magnetons per cell: 0.00
Mass density, g/cm³: 15.4
Formation enthalpy at 0 K, eV per atom: -0.14

Cell: 4.4590 4.4590 4.4590 Å, 60.00 60.00 60.00°
Last column: nearest neighbours and their distance in Å.
Fractional positions:
W: 0.0000 0.0000 0.0000  4 Ta 2.73, 4 Al 2.73
Ta: 0.2500 0.2500 0.2500  4 W 2.73, 4 Os 2.73
Os: 0.5000 0.5000 0.5000  4 Al 2.73, 4 Ta 2.73
Al: 0.7500 0.7500 0.7500  4 Os 2.73, 4 W 2.73


# 7
ZrTa2AlOs | PBE | relaxed

Total DFT energy (no corrections), eV/atom: -8.7313
V, Å³/cell: 110
Size of the total moment, Bohr magnetons per cell: 0.00
Mass density, g/cm³: 10.1
Formation enthalpy at 0 K, eV per atom: 0.71

Cell: 4.8988 4.6017 4.8988 Å, 90.00 90.00 90.00°
Last column: nearest neighbours and their distance in Å.
Fractional positions:
Ta: 0.5000 0.0000 0.0000  2 Os 2.45
Ta: 0.0000 0.0000 0.5000  2 Os 2.45
Al: 0.0000 0.5000 0.0000  2 Os 2.30
Zr: 0.5000 0.5000 0.5000  8 Ta 3.36, 4 Al 3.46
Os: 0.0000 0.0000 0.0000  2 Al 2.30, 4 Ta 2.45


# 8
TbAl3Os | PBE | relaxed

Total DFT energy (no corrections), eV/atom: -5.9684
V, Å³/cell: 267
Size of the total moment, Bohr magnetons per cell: 0.00
Mass density, g/cm³: 8.0
Formation enthalpy at 0 K, eV per atom: -0.55

Cell: 6.4405 6.4405 6.4405 Å, 90.00 90.00 90.00°
Last column: nearest neighbours and their distance in Å.
Fractional positions:
Al: 0.7916 0.7916 0.7916  3 Os 2.67, 3 Al 2.69, 3 Tb 2.98
Al: 0.7916 0.2084 0.2084  3 Os 2.67, 3 Al 2.69, 3 Tb 2.98
Al: 0.2084 0.7916 0.2084  3 Os 2.67, 3 Al 2.69, 3 Tb 2.98
Al: 0.5000 0.5000 0.5000  6 Tb 3.22, 8 Al 3.25
Al: 0.7916 0.7916 0.2084  3 Os 2.67, 3 Al 2.69, 3 Tb 2.98
Al: 0.7916 0.2084 0.7916  3 Os 2.67, 3 Al 2.69, 3 Tb 2.98
Al: 0.2084 0.2084 0.7916  3 Os 2.67, 3 Al 2.69, 3 Tb 2.98
Al: 0.2084 0.2084 0.2084  3 Os 2.67, 3 Al 2.69, 3 Tb 2.98
Al: 0.2084 0.7916 0.7916  3 Os 2.67, 3 Al 2.69, 3 Tb 2.98
Os: 0.0000 0.5000 0.0000  8 Al 2.67
Os: 0.0000 0.0000 0.5000  8 Al 2.67
Os: 0.5000 0.0000 0.0000  8 Al 2.67
Tb: 0.5000 0.5000 0.0000  10 Al 2.98-3.22, 4 Os 3.22
Tb: 0.5000 0.0000 0.5000  10 Al 2.98-3.22, 4 Os 3.22
Tb: 0.0000 0.5000 0.5000  10 Al 2.98-3.22, 4 Os 3.22